This record from Alexandria describes a relaxed ZrScCl2 crystal. The functional is PBE.

Output
- distance to the lowest polymorph of the same formula (eV/atom) = 0.497
- size of the total moment (μB/cell) = 0.000
- raw formation energy (eV/atom) = -0.86

abc: 4.6379 4.6379 5.5790
angles: 98.54 98.54 41.41
Atoms (fractional coordinates):
1 Zr 0.0000 0.0000 0.0000
2 Sc 0.5000 0.5000 0.5000
3 Cl 0.2681 0.2681 0.7658
4 Cl 0.7319 0.7319 0.2342



This record from Alexandria describes a relaxed DyHoThCd crystal. The functional is PBE.

Output
- distance to the lowest polymorph of the same formula (eV/atom) = 0.270
- size of the total moment (μB/cell) = 1.058
- energy relative to the elements (eV/atom) = 0.105

abc: 5.4667 5.4667 5.4667
angles: 60.00 60.00 60.00
Atoms (fractional coordinates):
1 Dy 0.0000 0.0000 0.0000
2 Ho 0.5000 0.5000 0.5000
3 Th 0.7500 0.7500 0.7500
4 Cd 0.2500 0.2500 0.2500



Among the records above, which one has the highest size of the total moment?
DyHoThCd